Record 1
## Ge2RhPbI (PBE)

Data for a geometry-optimized Ge2RhPbI structure.

Geometry as POSCAR:
```
Ge2RhPbI
1.0
5.5384 0.0000 0.0000
0.0000 4.8522 0.0000
0.0000 0.0000 5.5384
Pb I Ge Rh
1 1 2 1
direct
0.5000 0.5000 0.5000
0.0000 0.0000 0.0000
0.0000 0.0000 0.5000
0.5000 0.0000 0.0000
0.0000 0.5000 0.0000
```

Properties
Formation energy without anion corrections (eV/f.u.): 4.842

***

Record 2
## Hf2CoCu2 (PBE)

Data for a geometry-optimized Hf2CoCu2 structure.

Geometry as POSCAR:
```
Hf2CoCu2
1.0
-5.5849 -0.9850 3.7110
3.0598 -5.0988 3.2516
1.1775 2.2109 2.3589
Co Hf Cu
2 4 4
direct
0.0000 0.0000 0.0000
0.5000 0.5000 0.0000
0.1806 0.6806 0.5000
0.6806 0.8194 0.5000
0.8194 0.3194 0.5000
0.3194 0.1806 0.5000
0.3760 0.8760 0.0000
0.8760 0.6240 0.0000
0.6240 0.1240 0.0000
0.1240 0.3760 0.0000
```

Properties
Uncorrected energy (eV per formula unit): -35.44

***

Record 3
## KTe2Se (PBE)

Data for a geometry-optimized KTe2Se structure.

Geometry as POSCAR:
```
KTe2Se
1.0
-3.1169 -4.3937 3.3066
3.2246 -3.2717 4.3418
-0.8165 6.0670 -1.5742
K Se Te
1 1 2
direct
0.5000 0.5000 0.0000
0.7500 0.2500 0.5000
0.0000 0.0000 0.0000
0.2500 0.7500 0.5000
```

Properties
Formation energy without anion corrections (eV/f.u.): -0.314

***

Record 4
## CuAs2Br (PBE)

Data for a geometry-optimized CuAs2Br structure.

Geometry as POSCAR:
```
CuAs2Br
1.0
8.1079 0.0000 0.0000
0.0000 3.6282 0.0000
0.0000 0.0000 3.6282
As Br Cu
2 1 1
direct
0.0000 0.0000 0.0000
0.0000 0.5000 0.5000
0.5000 0.5000 0.0000
0.5000 0.0000 0.5000
```

Properties
Formation energy without anion corrections (eV/f.u.): 1.100
Distance to the lowest polymorph of the same formula (meV/atom): 299.7

***

Record 5
## Li3AlCu (PBE)

Data for a geometry-optimized Li3AlCu structure.

Geometry as POSCAR:
```
Li3AlCu
1.0
6.5648 -0.7472 -0.8579
-1.7292 7.1645 0.4348
-1.7292 -0.5534 7.1563
Li Al Cu
12 4 4
direct
0.6030 0.2972 0.0625
0.8970 0.9375 0.7028
0.3970 0.7028 0.9375
0.1030 0.0625 0.2972
0.9812 0.5952 0.8257
0.5188 0.1743 0.4048
0.0188 0.4048 0.1743
0.4812 0.8257 0.5952
0.5041 0.5317 0.3002
0.9959 0.6998 0.4683
0.4959 0.4683 0.6998
0.0041 0.3002 0.5317
0.8373 0.7200 0.0717
0.6627 0.9283 0.2800
0.1627 0.2800 0.9283
0.3373 0.0717 0.7200
0.2500 0.9814 0.0186
0.7500 0.0186 0.9814
0.2500 0.7503 0.2497
0.7500 0.2497 0.7503
```

Properties
Distance to the lowest polymorph of the same formula (meV/atom): 30.4

***

Record 6
## Ac5Cu5Ni2 (PBE)

Data for a geometry-optimized Ac5Cu5Ni2 structure.

Geometry as POSCAR:
```
Ac5Cu5Ni2
1.0
4.0636 0.0000 0.9168
1.9647 8.0410 0.7561
0.0647 -0.1664 9.1779
Ac Cu Ni
5 5 2
direct
0.0000 0.5000 0.5000
0.6945 0.6963 0.9148
0.3831 0.9166 0.3172
0.6169 0.0834 0.6828
0.3055 0.3037 0.0852
0.7086 0.2356 0.3472
0.9313 0.3107 0.8267
0.0687 0.6893 0.1733
0.2914 0.7644 0.6528
0.0000 0.0000 0.0000
0.3859 0.4658 0.7624
0.6141 0.5342 0.2376
```

Properties
Uncorrected energy (eV per formula unit): -54.62

***

Record 7
## LaMgCl (PBE)

Data for a geometry-optimized LaMgCl structure.

Geometry as POSCAR:
```
LaMgCl
1.0
-0.6962 -1.4545 -3.7679
-12.9966 -7.7240 5.3830
-2.9307 4.1832 -1.0734
La Mg Cl
4 4 4
direct
0.0000 0.8671 0.2500
0.0000 0.1329 0.7500
0.5000 0.3671 0.2500
0.5000 0.6329 0.7500
0.0000 0.5388 0.2500
0.0000 0.4612 0.7500
0.5000 0.0388 0.2500
0.5000 0.9612 0.7500
0.0000 0.2261 0.2500
0.0000 0.7739 0.7500
0.5000 0.7261 0.2500
0.5000 0.2739 0.7500
```

Properties
Formation energy without anion corrections (eV/f.u.): -2.882
Distance to the lowest polymorph of the same formula (meV/atom): 40.5

***

Record 8
## La3TmPb5 (PBE)

Data for a geometry-optimized La3TmPb5 structure.

Geometry as POSCAR:
```
La3TmPb5
1.0
6.7188 0.0000 0.0000
0.0000 8.4897 -4.9015
0.0000 0.0000 9.8030
La Tm Pb
6 2 10
direct
0.7500 0.3830 0.0000
0.7500 0.6170 0.6170
0.7500 0.0000 0.3830
0.2500 0.6170 0.0000
0.2500 0.3830 0.3830
0.2500 0.0000 0.6170
0.0000 0.0000 0.0000
0.5000 0.0000 0.0000
0.0000 0.3333 0.6667
0.5000 0.6667 0.3333
0.0000 0.6667 0.3333
0.5000 0.3333 0.6667
0.7500 0.7217 0.0000
0.7500 0.2783 0.2783
0.7500 0.0000 0.7217
0.2500 0.2783 0.0000
0.2500 0.7217 0.7217
0.2500 0.0000 0.2783
```

Properties
Uncorrected energy (eV per formula unit): -42.61

***

Record 9
## Pr2Er2TmMg5 (PBE)

Data for a geometry-optimized Pr2Er2TmMg5 structure.

Geometry as POSCAR:
```
Pr2Er2TmMg5
1.0
-0.1978 -4.0948 2.9670
4.7079 -5.7249 -7.5871
9.4956 2.4636 4.0332
Pr Er Tm Mg
4 4 2 10
direct
0.0000 0.6767 0.1767
0.0000 0.3233 0.8233
0.0000 0.1767 0.3233
0.0000 0.8233 0.6767
0.0000 0.1199 0.6199
0.0000 0.8801 0.3801
0.0000 0.6199 0.8801
0.0000 0.3801 0.1199
0.0000 0.0000 0.0000
0.0000 0.5000 0.5000
0.5000 0.1980 0.0689
0.5000 0.8020 0.9311
0.5000 0.0689 0.8020
0.5000 0.6980 0.4311
0.5000 0.9311 0.1980
0.5000 0.3020 0.5689
0.5000 0.5689 0.6980
0.5000 0.4311 0.3020
0.5000 0.5000 0.0000
0.5000 0.0000 0.5000
```

Properties
Uncorrected energy (eV per formula unit): -30.81

***

Record 10
## BaCS (PBE)

Data for a geometry-optimized BaCS structure.

Geometry as POSCAR:
```
BaCS
1.0
4.8896 0.0000 0.0001
0.0000 4.0856 0.0000
-1.6719 0.0000 8.3485
C S Ba
2 2 2
direct
0.6139 0.0000 0.1372
0.7429 0.0000 0.0231
0.1505 0.0000 0.6358
0.4857 0.0000 0.3074
0.0046 0.5000 0.3442
0.6868 0.5000 0.7755
```

Properties
Formation energy without anion corrections (eV/f.u.): -2.250
Distance to the lowest polymorph of the same formula (meV/atom): 86.5

***

Record 11
## Tm8Cu3Sb2 (PBE)

Data for a geometry-optimized Tm8Cu3Sb2 structure.

Geometry as POSCAR:
```
Tm8Cu3Sb2
1.0
-5.0044 3.4336 1.4585
-3.9908 -4.6040 -2.8546
2.5419 -2.4021 8.2502
Tm Cu Sb
8 3 2
direct
0.7916 0.5520 0.1041
0.2084 0.4480 0.8959
0.8405 0.1462 0.2924
0.1595 0.8538 0.7076
0.6537 0.6266 0.7480
0.6537 0.1214 0.7480
0.3463 0.8786 0.2520
0.3463 0.3734 0.2520
0.5000 0.0000 0.0000
0.0000 0.1721 0.0000
0.0000 0.8279 0.0000
0.2686 0.2748 0.5496
0.7314 0.7252 0.4504
```

Properties
Formation energy without anion corrections (eV/f.u.): -3.601

***

Record 12
## K2NaHO (PBE)

Data for a geometry-optimized K2NaHO structure.

Geometry as POSCAR:
```
K2NaHO
1.0
5.2719 0.0000 0.0000
0.0000 5.2719 0.0000
0.0000 0.0000 4.4039
Na K O H
1 2 1 1
direct
0.0000 0.0000 0.5000
0.0000 0.5000 0.0000
0.5000 0.0000 0.0000
0.0000 0.0000 0.0000
0.5000 0.5000 0.5000
```

Properties
Uncorrected energy (eV per formula unit): -15.15

***

no.,calculated density (g/cm3)
1,6.50
2,11.41
3,5.38
4,4.56
5,2.33
6,8.70
7,3.84
8,9.63
9,5.29
10,3.61
11,8.63
12,1.60